No. 1
An optimized crystal structure of TaCrMo2, computed with PBE.

Output
As for the volume: 15.78 A^3/atom. As for the formation energy: 92.3 kJ/mol of formula units.

The structure in POSCAR format:
```
TaCrMo2
1.0
-4.6310 -0.8635 2.4879
-3.3502 -3.8153 -1.6126
5.1619 0.6389 1.1524
Mo Ta Cr
2 1 1
direct
0.5000 0.5000 0.0000 Mo
0.0000 0.0000 0.0000 Mo
0.2500 0.7500 0.5000 Ta
0.7500 0.2500 0.5000 Cr
```

No. 2
An optimized crystal structure of TaCrMo2, computed with PBE.

Output
As for the volume: 15.46 A^3/atom. As for the formation energy: -0.9 kJ/mol of formula units.

The structure in POSCAR format:
```
TaCrMo2
1.0
-2.3635 3.9330 -2.3520
2.4030 -3.4284 -3.0372
-2.1785 -1.3091 -1.0830
Mo Cr Ta
2 1 1
direct
0.0000 0.0000 0.0000 Mo
0.5000 0.0000 0.5000 Mo
0.5000 0.5000 0.0000 Cr
0.0000 0.5000 0.5000 Ta
```

No. 3
An optimized crystal structure of TaCrMo2, computed with PBE.

Output
As for the volume: 15.83 A^3/atom. As for the formation energy: 127.9 kJ/mol of formula units.

The structure in POSCAR format:
```
TaCrMo2
1.0
-4.8099 -6.2792 -3.1134
-2.2755 -6.8058 -4.5562
-2.6680 -7.8639 -1.8160
Mo Ta Cr
2 1 1
direct
0.0072 0.0072 0.0072 Mo
0.4928 0.4928 0.4928 Mo
0.2500 0.2500 0.2500 Ta
0.7500 0.7500 0.7500 Cr
```

No. 4
An optimized crystal structure of TaCrMo2, computed with PBE.

Output
As for the volume: 16.45 A^3/atom. As for the formation energy: 263.4 kJ/mol of formula units.

The structure in POSCAR format:
```
TaCrMo2
1.0
-1.8751 0.4949 -6.7746
3.9323 -5.6515 -1.5013
-1.0548 -4.1506 -3.6762
Ta Mo Cr
2 4 2
direct
0.7500 0.2500 0.5000 Ta
0.0000 0.0000 0.0000 Ta
0.3750 0.4071 0.7500 Mo
0.8750 0.8429 0.7500 Mo
0.5929 0.1250 0.2500 Mo
0.1571 0.6250 0.2500 Mo
0.2500 0.7500 0.5000 Cr
0.5000 0.5000 0.0000 Cr
```

No. 5
An optimized crystal structure of TaCrMo, computed with PBE.

Output
As for the volume: 15.23 A^3/atom. As for the formation energy: -16.2 kJ/mol of formula units.

The structure in POSCAR format:
```
TaCrMo
1.0
4.4256 0.0000 0.0000
0.0000 3.1207 0.0000
0.0000 0.0000 13.2365
Mo Cr Ta
4 4 4
direct
0.5000 0.5000 0.9931 Mo
0.5000 0.0000 0.4931 Mo
0.0000 0.5000 0.8248 Mo
0.0000 0.0000 0.3248 Mo
0.5000 0.5000 0.6473 Cr
0.5000 0.0000 0.1473 Cr
0.0000 0.0000 0.9838 Cr
0.0000 0.5000 0.4838 Cr
0.5000 0.5000 0.3173 Ta
0.0000 0.0000 0.6489 Ta
0.0000 0.5000 0.1489 Ta
0.5000 0.0000 0.8173 Ta
```

No. 6
An optimized crystal structure of TaCrMo2, computed with PBE.

Output
As for the volume: 15.42 A^3/atom. As for the formation energy: -15.7 kJ/mol of formula units.

The structure in POSCAR format:
```
TaCrMo2
1.0
-1.7692 -1.7282 -1.9390
-2.6771 -1.0295 3.3603
-2.4968 3.5630 -0.8975
Mo Cr Ta
2 1 1
direct
0.5000 0.5000 0.0000 Mo
0.0000 0.0000 0.0000 Mo
0.0000 0.5000 0.5000 Cr
0.5000 0.0000 0.5000 Ta
```

No. 7
An optimized crystal structure of TaCrMo, computed with PBE.

Output
As for the volume: 15.22 A^3/atom. As for the formation energy: -17.1 kJ/mol of formula units.

The structure in POSCAR format:
```
TaCrMo
1.0
5.1962 -0.0046 0.0000
3.3326 3.9868 0.0000
-4.2644 -1.9911 2.2025
Mo Ta Cr
1 1 1
direct
0.3417 0.3417 0.0000 Mo
0.6623 0.6623 0.0000 Ta
0.9960 0.9960 0.0000 Cr
```

No. 8
An optimized crystal structure of TaCrMo2, computed with PBE.

Output
As for the volume: 15.46 A^3/atom. As for the formation energy: 4.6 kJ/mol of formula units.

The structure in POSCAR format:
```
TaCrMo2
1.0
-2.3063 -0.4445 1.4419
2.1984 -0.8601 1.4223
0.7409 7.8602 3.6082
Ta Cr Mo
1 1 2
direct
0.0000 0.0000 0.5122 Ta
0.5000 0.5000 0.7565 Cr
0.5000 0.5000 0.2441 Mo
0.0000 0.0000 0.9872 Mo
```